(1)
Compound: ErHfAg2
Source: the Alexandria database
Functional: PBE
Structure: optimized geometry

Values from the calculation:
energy relative to the elements	-45	meV/atom

```
ErHfAg2
1.0
0.000 3.506 3.506
3.506 0.000 3.506
3.506 3.506 0.000
Er Hf Ag
1 1 2
Direct
0.000 0.000 0.000
0.500 0.500 0.500
0.250 0.250 0.250
0.750 0.750 0.750
```

(2)
Compound: ErHfAg2
Source: the Alexandria database
Functional: PBE
Structure: optimized geometry

Values from the calculation:
energy relative to the elements	-81	meV/atom

```
ErHfAg2
1.0
3.406 0.000 0.000
0.000 3.406 0.000
0.000 0.000 7.416
Er Hf Ag
1 1 2
Direct
0.000 0.000 0.000
0.000 0.000 0.500
0.500 0.500 0.267
0.500 0.500 0.733
```

(3)
Compound: Er2HfAg
Source: the Alexandria database
Functional: PBE
Structure: optimized geometry

Values from the calculation:
energy relative to the elements	320	meV/atom

```
Er2HfAg
1.0
1.598 0.922 11.396
-1.598 0.922 11.396
0.000 -1.845 11.396
Er Hf Ag
2 1 1
Direct
0.092 0.092 0.092
0.908 0.908 0.908
0.000 0.000 0.000
0.500 0.500 0.500
```

no.,E above lowest polymorph (kJ per mole of atoms)
1,3.5
2,0.0
3,41.1